Version A
Material: BaAgS2Cl
Method: DFT, PBE
State: relaxed

Lattice parameters (Å, degrees): 6.0468 6.0468 5.8928 90.00 90.00 90.00
Last column: nearest neighbours and their distance in Å.
Positions (direct):
Ba 0.0000 0.0000 0.0000  2 Cl 2.95, 4 S 3.02
Ag 0.5000 0.5000 0.5000  8 S 4.22, 4 Cl 4.28
S 0.0000 0.5000 0.0000  2 Ba 3.02
S 0.5000 0.0000 0.0000  2 Ba 3.02
Cl 0.0000 0.0000 0.5000  2 Ba 2.95

Values from the calculation:
- total magnetization (Bohr magnetons per cell) = 2.018
- density of states at the Fermi level (states/eV per cell) = 8.189

Version B
Material: BaAgS2Cl
Method: DFT, PBE
State: relaxed

Lattice parameters (Å, degrees): 4.8965 4.8965 5.3022 90.00 90.00 90.00
Last column: nearest neighbours and their distance in Å.
Positions (direct):
Ba 0.0000 0.0000 0.0000  4 Cl 3.46, 8 S 3.61
Ag 0.5000 0.5000 0.5000  4 S 2.45, 2 Cl 2.65
S 0.0000 0.5000 0.5000  2 Ag 2.45
S 0.5000 0.0000 0.5000  2 Ag 2.45
Cl 0.5000 0.5000 0.0000  2 Ag 2.65

Values from the calculation:
- total magnetization (Bohr magnetons per cell) = 0.000
- density of states at the Fermi level (states/eV per cell) = 1.833

Stability, lowest: version A

Version A
Material: BaAgSCl2
Method: DFT, PBE
State: relaxed

Lattice parameters (Å, degrees): 5.9197 5.9197 6.1563 90.00 90.00 90.00
Last column: nearest neighbours and their distance in Å.
Positions (direct):
Ba 0.0000 0.0000 0.0000  4 Cl 2.96, 2 S 3.08
Ag 0.5000 0.5000 0.5000  4 S 4.19, 8 Cl 4.27
S 0.0000 0.0000 0.5000  2 Ba 3.08
Cl 0.0000 0.5000 0.0000  2 Ba 2.96
Cl 0.5000 0.0000 0.0000  2 Ba 2.96

Values from the calculation:
- total magnetization (Bohr magnetons per cell) = 1.005
- density of states at the Fermi level (states/eV per cell) = 7.023

Version B
Material: BaAgSCl2
Method: DFT, PBE
State: relaxed

Lattice parameters (Å, degrees): 5.0888 5.0888 5.0624 90.00 90.00 90.00
Last column: nearest neighbours and their distance in Å.
Positions (direct):
Ba 0.0000 0.0000 0.0000  8 Cl 3.59, 4 S 3.60
Ag 0.5000 0.5000 0.5000  2 S 2.53, 4 Cl 2.54
S 0.5000 0.5000 0.0000  2 Ag 2.53
Cl 0.0000 0.5000 0.5000  2 Ag 2.54
Cl 0.5000 0.0000 0.5000  2 Ag 2.54

Values from the calculation:
- total magnetization (Bohr magnetons per cell) = 0.000
- density of states at the Fermi level (states/eV per cell) = 4.271

Stability, lowest: version A

Version A
Material: BaCrAg3
Method: DFT, PBE
State: relaxed

Lattice parameters (Å, degrees): 6.0378 6.0378 6.0378 90.00 90.00 90.00
Last column: nearest neighbours and their distance in Å.
Positions (direct):
Ba 0.0000 0.0000 0.0000  6 Ag 3.02
Cr 0.5000 0.5000 0.5000  12 Ag 4.27
Ag 0.0000 0.0000 0.5000  2 Ba 3.02
Ag 0.0000 0.5000 0.0000  2 Ba 3.02
Ag 0.5000 0.0000 0.0000  2 Ba 3.02

Values from the calculation:
- total magnetization (Bohr magnetons per cell) = 4.996
- density of states at the Fermi level (states/eV per cell) = 1.709

Version B
Material: BaCrAg3
Method: DFT, PBE
State: relaxed

Lattice parameters (Å, degrees): 5.2162 5.2162 5.2162 90.00 90.00 90.00
Last column: nearest neighbours and their distance in Å.
Positions (direct):
Ba 0.0000 0.0000 0.0000  12 Ag 3.69
Cr 0.5000 0.5000 0.5000  6 Ag 2.61
Ag 0.0000 0.5000 0.5000  2 Cr 2.61
Ag 0.5000 0.0000 0.5000  2 Cr 2.61
Ag 0.5000 0.5000 0.0000  2 Cr 2.61

Values from the calculation:
- total magnetization (Bohr magnetons per cell) = 4.423
- density of states at the Fermi level (states/eV per cell) = 1.485

Stability, lowest: version A

Version A
Material: BaCrAg
Method: DFT, PBE
State: relaxed

Lattice parameters (Å, degrees): 3.8492 3.8492 11.6248 90.00 90.00 90.00
Last column: nearest neighbours and their distance in Å.
Positions (direct):
Ba 0.0000 0.0000 0.0000  5 Cr 3.36-3.66, 5 Ag 3.44-3.61
Ba 0.5000 0.5000 0.5000  5 Cr 3.36-3.66, 5 Ag 3.44-3.61
Cr 0.0000 0.0000 0.2895  4 Ag 2.90
Cr 0.5000 0.5000 0.7895  4 Ag 2.90
Ag 0.0000 0.0000 0.7042  4 Cr 2.90
Ag 0.5000 0.5000 0.2042  4 Cr 2.90

Values from the calculation:
- total magnetization (Bohr magnetons per cell) = 9.549
- density of states at the Fermi level (states/eV per cell) = 4.725

Version B
Material: BaCrAg
Method: DFT, PBE
State: relaxed

Lattice parameters (Å, degrees): 7.7710 7.7710 7.7710 90.00 90.00 90.00
Last column: nearest neighbours and their distance in Å.
Positions (direct):
Ba 0.0000 0.0000 0.0000  4 Cr 3.36, 4 Ag 3.36
Ba 0.0000 0.5000 0.5000  4 Cr 3.36, 4 Ag 3.36
Ba 0.5000 0.0000 0.5000  4 Cr 3.36, 4 Ag 3.36
Ba 0.5000 0.5000 0.0000  4 Cr 3.36, 4 Ag 3.36
Cr 0.2500 0.2500 0.7500  4 Ba 3.36
Cr 0.2500 0.7500 0.2500  4 Ba 3.36
Cr 0.7500 0.2500 0.2500  4 Ba 3.36
Cr 0.7500 0.7500 0.7500  4 Ba 3.36
Ag 0.2500 0.2500 0.2500  4 Ba 3.36
Ag 0.2500 0.7500 0.7500  4 Ba 3.36
Ag 0.7500 0.2500 0.7500  4 Ba 3.36
Ag 0.7500 0.7500 0.2500  4 Ba 3.36

Values from the calculation:
- total magnetization (Bohr magnetons per cell) = 20.387
- density of states at the Fermi level (states/eV per cell) = 4.592

Version C
Material: BaCrAg
Method: DFT, PBE
State: relaxed

Lattice parameters (Å, degrees): 4.8897 4.8897 4.5362 90.00 90.00 120.00
Last column: nearest neighbours and their distance in Å.
Positions (direct):
Ba 0.0000 0.0000 0.0000  6 Ag 3.62, 6 Cr 3.62
Cr 0.6667 0.3333 0.5000  3 Ag 2.82
Ag 0.3333 0.6667 0.5000  3 Cr 2.82

Values from the calculation:
- total magnetization (Bohr magnetons per cell) = 4.827
- density of states at the Fermi level (states/eV per cell) = 1.292

Version D
Material: BaCrAg
Method: DFT, PBE
State: relaxed

Lattice parameters (Å, degrees): 7.4241 7.4241 7.4241 90.00 90.00 90.00
Last column: nearest neighbours and their distance in Å.
Positions (direct):
Ba 0.0000 0.0000 0.0000  4 Ag 3.21
Ba 0.0000 0.5000 0.5000  4 Ag 3.21
Ba 0.5000 0.0000 0.5000  4 Ag 3.21
Ba 0.5000 0.5000 0.0000  4 Ag 3.21
Cr 0.0000 0.0000 0.5000  4 Ag 3.21
Cr 0.0000 0.5000 0.0000  4 Ag 3.21
Cr 0.5000 0.0000 0.0000  4 Ag 3.21
Cr 0.5000 0.5000 0.5000  4 Ag 3.21
Ag 0.2500 0.2500 0.2500  4 Cr 3.21, 4 Ba 3.21
Ag 0.2500 0.7500 0.7500  4 Cr 3.21, 4 Ba 3.21
Ag 0.7500 0.2500 0.7500  4 Cr 3.21, 4 Ba 3.21
Ag 0.7500 0.7500 0.2500  4 Cr 3.21, 4 Ba 3.21

Values from the calculation:
- total magnetization (Bohr magnetons per cell) = 19.506
- density of states at the Fermi level (states/eV per cell) = 6.205

Stability, lowest: version B

Version A
Material: CsBaAg3
Method: DFT, PBE
State: relaxed

Lattice parameters (Å, degrees): 6.2339 6.2339 6.2339 90.00 90.00 90.00
Last column: nearest neighbours and their distance in Å.
Positions (direct):
Cs 0.0000 0.0000 0.0000  6 Ag 3.12
Ba 0.5000 0.5000 0.5000  12 Ag 4.41
Ag 0.0000 0.0000 0.5000  2 Cs 3.12
Ag 0.0000 0.5000 0.0000  2 Cs 3.12
Ag 0.5000 0.0000 0.0000  2 Cs 3.12

Values from the calculation:
- total magnetization (Bohr magnetons per cell) = 0.000
- density of states at the Fermi level (states/eV per cell) = 0.373

Version B
Material: CsBaAg3
Method: DFT, PBE
State: relaxed

Lattice parameters (Å, degrees): 6.4566 6.4566 6.4566 90.00 90.00 90.00
Last column: nearest neighbours and their distance in Å.
Positions (direct):
Cs 0.0000 0.0000 0.0000  12 Ag 4.57
Ba 0.5000 0.5000 0.5000  6 Ag 3.23
Ag 0.0000 0.5000 0.5000  2 Ba 3.23
Ag 0.5000 0.0000 0.5000  2 Ba 3.23
Ag 0.5000 0.5000 0.0000  2 Ba 3.23

Values from the calculation:
- total magnetization (Bohr magnetons per cell) = 0.000
- density of states at the Fermi level (states/eV per cell) = 0.000

Stability, lowest: version A

Version A
Material: CsBa2Ag2
Method: DFT, PBE
State: relaxed

Lattice parameters (Å, degrees): 6.2218 6.2218 13.9928 90.00 90.00 90.00
Last column: nearest neighbours and their distance in Å.
Positions (direct):
Cs 0.0000 0.0000 0.0000  8 Ag 4.68, 10 Ba 4.69-4.97
Cs 0.5000 0.5000 0.5000  8 Ag 4.68, 10 Ba 4.69-4.97
Ba 0.0000 0.0000 0.3351  4 Ag 3.33
Ba 0.0000 0.0000 0.6649  4 Ag 3.33
Ba 0.5000 0.5000 0.1649  4 Ag 3.33
Ba 0.5000 0.5000 0.8351  4 Ag 3.33
Ag 0.0000 0.5000 0.2500  4 Ba 3.33
Ag 0.0000 0.5000 0.7500  4 Ba 3.33
Ag 0.5000 0.0000 0.2500  4 Ba 3.33
Ag 0.5000 0.0000 0.7500  4 Ba 3.33

Values from the calculation:
- total magnetization (Bohr magnetons per cell) = 0.289
- density of states at the Fermi level (states/eV per cell) = 7.155

Version B
Material: CsBa2Ag2
Method: DFT, PBE
State: relaxed

Lattice parameters (Å, degrees): 10.1177 10.1177 4.0297 90.00 90.00 90.00
Last column: nearest neighbours and their distance in Å.
Positions (direct):
Cs 0.0000 0.0000 0.0000  4 Ba 3.92, 2 Cs 4.03, 8 Ag 4.34
Cs 0.5000 0.5000 0.0000  4 Ba 3.92, 2 Cs 4.03, 8 Ag 4.34
Ba 0.1377 0.3623 0.0000  6 Ag 3.56-3.62, 2 Cs 3.92, 1 Ba 3.94
Ba 0.3623 0.8623 0.0000  6 Ag 3.56-3.62, 2 Cs 3.92, 1 Ba 3.94
Ba 0.6377 0.1377 0.0000  6 Ag 3.56-3.62, 2 Cs 3.92, 1 Ba 3.94
Ba 0.8623 0.6377 0.0000  6 Ag 3.56-3.62, 2 Cs 3.92, 1 Ba 3.94
Ag 0.1518 0.6518 0.5000  6 Ba 3.56-3.62
Ag 0.3482 0.1518 0.5000  6 Ba 3.56-3.62
Ag 0.6518 0.8482 0.5000  6 Ba 3.56-3.62
Ag 0.8482 0.3482 0.5000  6 Ba 3.56-3.62

Values from the calculation:
- total magnetization (Bohr magnetons per cell) = 0.000
- density of states at the Fermi level (states/eV per cell) = 9.427

Version C
Material: CsBa2Ag2
Method: DFT, PBE
State: relaxed

Lattice parameters (Å, degrees): 9.4719 9.4719 4.8112 90.00 90.00 90.00
Last column: nearest neighbours and their distance in Å.
Positions (direct):
Cs 0.0000 0.0000 0.0000  4 Ag 3.82
Cs 0.5000 0.5000 0.0000  4 Ag 3.82
Ba 0.1597 0.3403 0.5000  6 Ag 3.55-3.89
Ba 0.3403 0.8403 0.5000  6 Ag 3.55-3.89
Ba 0.6597 0.1597 0.5000  6 Ag 3.55-3.89
Ba 0.8403 0.6597 0.5000  6 Ag 3.55-3.89
Ag 0.1125 0.6125 0.0000  1 Ag 3.01
Ag 0.3875 0.1125 0.0000  1 Ag 3.01
Ag 0.6125 0.8875 0.0000  1 Ag 3.01
Ag 0.8875 0.3875 0.0000  1 Ag 3.01

Values from the calculation:
- total magnetization (Bohr magnetons per cell) = 0.000
- density of states at the Fermi level (states/eV per cell) = 12.096

Stability, lowest: version A